Entry 1:
Computed, not measured: AcZnBPt3 after structural relaxation at the GGA-PBE level of DFT.

abc: 7.0155 7.0155 6.2248
angles: 90.00 90.00 131.52
Positions (direct):
Ac (0.2355, 0.7645, 0.7500)
Ac (0.7645, 0.2355, 0.2500)
Zn (0.1173, 0.8827, 0.2500)
Zn (0.8827, 0.1173, 0.7500)
B (0.4798, 0.5202, 0.2500)
B (0.5202, 0.4798, 0.7500)
Pt (0.2566, 0.2566, 0.0000)
Pt (0.2566, 0.2566, 0.5000)
Pt (0.3143, 0.6857, 0.2500)
Pt (0.6857, 0.3143, 0.7500)
Pt (0.7434, 0.7434, 0.0000)
Pt (0.7434, 0.7434, 0.5000)

Results
space group: Cmcm
formation energy from the elements: -4.234 eV per formula unit


Entry 2:
Computed, not measured: Ac2ZnB3Pt12 after structural relaxation at the GGA-PBE level of DFT.

abc: 7.5327 7.5327 7.5327
angles: 64.13 64.13 64.13
Positions (direct):
Ac (0.1107, 0.1107, 0.1107)
Ac (0.8893, 0.8893, 0.8893)
Zn (0.5000, 0.5000, 0.5000)
B (0.0000, 0.5000, 0.5000)
B (0.5000, 0.0000, 0.5000)
B (0.5000, 0.5000, 0.0000)
Pt (0.1239, 0.6147, 0.6147)
Pt (0.1768, 0.1768, 0.5856)
Pt (0.1768, 0.5856, 0.1768)
Pt (0.3853, 0.3853, 0.8761)
Pt (0.3853, 0.8761, 0.3853)
Pt (0.4144, 0.8232, 0.8232)
Pt (0.5856, 0.1768, 0.1768)
Pt (0.6147, 0.1239, 0.6147)
Pt (0.6147, 0.6147, 0.1239)
Pt (0.8232, 0.4144, 0.8232)
Pt (0.8232, 0.8232, 0.4144)
Pt (0.8761, 0.3853, 0.3853)

Results
space group: R-3m
formation energy from the elements: -8.756 eV per formula unit


Entry 3:
Computed, not measured: Ac2ZnBPt6 after structural relaxation at the GGA-PBE level of DFT.

abc: 7.3883 7.3883 7.3883
angles: 46.67 46.67 46.67
Positions (direct):
Ac (0.2164, 0.2164, 0.2164)
Ac (0.7836, 0.7836, 0.7836)
Zn (0.5000, 0.5000, 0.5000)
B (0.0000, 0.0000, 0.0000)
Pt (0.2356, 0.2356, 0.7128)
Pt (0.2356, 0.7128, 0.2356)
Pt (0.2872, 0.7644, 0.7644)
Pt (0.7128, 0.2356, 0.2356)
Pt (0.7644, 0.2872, 0.7644)
Pt (0.7644, 0.7644, 0.2872)

Results
space group: R-3m
formation energy from the elements: -8.672 eV per formula unit


Entry 4:
Computed, not measured: AcPuB after structural relaxation at the GGA-PBE level of DFT.

abc: 8.7514 3.6266 9.2843
angles: 90.00 92.92 90.00
Positions (direct):
Ac (0.1249, 0.0000, 0.3245)
Ac (0.3751, 0.5000, 0.6755)
Ac (0.6249, 0.5000, 0.3245)
Ac (0.8751, 0.0000, 0.6755)
Pu (0.1757, 0.0000, 0.9543)
Pu (0.3243, 0.5000, 0.0457)
Pu (0.6757, 0.5000, 0.9543)
Pu (0.8243, 0.0000, 0.0457)
B (0.0417, 0.5000, 0.0861)
B (0.4583, 0.0000, 0.9139)
B (0.5417, 0.0000, 0.0861)
B (0.9583, 0.5000, 0.9139)

Results
space group: C2/m
formation energy from the elements: 0.461 eV per formula unit


Entry 5:
Computed, not measured: AcPuB12 after structural relaxation at the GGA-PBE level of DFT.

abc: 5.8863 5.8863 5.8863
angles: 60.00 60.00 60.00
Positions (direct):
Ac (0.0000, 0.0000, 0.0000)
Pu (0.5000, 0.5000, 0.5000)
B (0.1000, 0.1000, 0.4000)
B (0.1000, 0.4000, 0.1000)
B (0.1000, 0.4000, 0.4000)
B (0.4000, 0.1000, 0.1000)
B (0.4000, 0.1000, 0.4000)
B (0.4000, 0.4000, 0.1000)
B (0.6000, 0.6000, 0.9000)
B (0.6000, 0.9000, 0.6000)
B (0.6000, 0.9000, 0.9000)
B (0.9000, 0.6000, 0.6000)
B (0.9000, 0.6000, 0.9000)
B (0.9000, 0.9000, 0.6000)

Results
space group: Fm-3m
formation energy from the elements: -6.428 eV per formula unit


Entry 6:
Computed, not measured: AcPuB4 after structural relaxation at the GGA-PBE level of DFT.

abc: 3.2960 5.6522 8.5922
angles: 90.00 90.00 90.00
Positions (direct):
Ac (0.0000, 0.0000, 0.0000)
Ac (0.5000, 0.5000, 0.5000)
Pu (0.0000, 0.0000, 0.5000)
Pu (0.5000, 0.5000, 0.0000)
B (0.0000, 0.3372, 0.2470)
B (0.0000, 0.3372, 0.7530)
B (0.0000, 0.6628, 0.2470)
B (0.0000, 0.6628, 0.7530)
B (0.5000, 0.1628, 0.2530)
B (0.5000, 0.1628, 0.7470)
B (0.5000, 0.8372, 0.2530)
B (0.5000, 0.8372, 0.7470)

Results
space group: Immm
formation energy from the elements: -0.454 eV per formula unit


Entry 7:
Computed, not measured: RbAc3B4S12 after structural relaxation at the GGA-PBE level of DFT.

abc: 8.5813 8.5813 8.5813
angles: 100.33 100.33 100.33
Positions (direct):
Rb (0.0000, 0.0000, 0.0000)
Ac (0.0000, 0.5279, 0.4721)
Ac (0.4721, 0.0000, 0.5279)
Ac (0.5279, 0.4721, 0.0000)
B (0.0278, 0.5000, 0.9722)
B (0.5000, 0.5000, 0.5000)
B (0.5000, 0.9722, 0.0278)
B (0.9722, 0.0278, 0.5000)
S (0.0083, 0.6204, 0.8217)
S (0.1105, 0.8895, 0.5000)
S (0.1783, 0.3796, 0.9917)
S (0.3619, 0.6381, 0.5000)
S (0.3796, 0.9917, 0.1783)
S (0.5000, 0.1105, 0.8895)
S (0.5000, 0.3619, 0.6381)
S (0.6204, 0.8217, 0.0083)
S (0.6381, 0.5000, 0.3619)
S (0.8217, 0.0083, 0.6204)
S (0.8895, 0.5000, 0.1105)
S (0.9917, 0.1783, 0.3796)

Results
space group: R32
energy relative to the elements, uncorrected: -0.975 eV/atom


Entry 8:
Computed, not measured: RbAc2B2S6 after structural relaxation at the GGA-PBE level of DFT.

abc: 5.8311 6.0256 10.0597
angles: 76.74 87.66 67.18
Positions (direct):
Rb (0.0000, 0.0000, 0.0000)
Ac (0.3652, 0.2857, 0.6267)
Ac (0.6348, 0.7143, 0.3733)
B (0.4356, 0.3049, 0.2787)
B (0.5644, 0.6951, 0.7213)
S (0.1907, 0.5811, 0.3217)
S (0.2828, 0.8349, 0.6018)
S (0.4105, 0.1616, 0.1446)
S (0.5895, 0.8384, 0.8554)
S (0.7172, 0.1651, 0.3982)
S (0.8093, 0.4189, 0.6783)

Results
space group: P-1
energy relative to the elements, uncorrected: -1.232 eV/atom


Entry 9:
Computed, not measured: Rb2AcB2Se6 after structural relaxation at the GGA-PBE level of DFT.

abc: 7.3042 7.3042 8.3296
angles: 90.00 90.00 120.00
Positions (direct):
Rb (0.3333, 0.6667, 0.3455)
Rb (0.6667, 0.3333, 0.6545)
Ac (0.0000, 0.0000, 0.0000)
B (0.3333, 0.6667, 0.7724)
B (0.6667, 0.3333, 0.2276)
Se (0.1797, 0.3595, 0.7490)
Se (0.1797, 0.8203, 0.7490)
Se (0.3595, 0.1797, 0.2510)
Se (0.6405, 0.8203, 0.7490)
Se (0.8203, 0.1797, 0.2510)
Se (0.8203, 0.6405, 0.2510)

Results
space group: P-3m1
energy relative to the elements, uncorrected: -0.797 eV/atom


Entry 10:
Computed, not measured: AcReB2 after structural relaxation at the GGA-PBE level of DFT.

abc: 3.7989 3.7989 15.6734
angles: 90.00 90.00 120.00
Positions (direct):
Ac (0.0000, 0.0000, 0.0000)
Ac (0.3333, 0.6667, 0.6667)
Ac (0.6667, 0.3333, 0.3333)
Re (0.0000, 0.0000, 0.5000)
Re (0.3333, 0.6667, 0.1667)
Re (0.6667, 0.3333, 0.8333)
B (0.0000, 0.0000, 0.1961)
B (0.0000, 0.0000, 0.8039)
B (0.3333, 0.6667, 0.4705)
B (0.3333, 0.6667, 0.8628)
B (0.6667, 0.3333, 0.1372)
B (0.6667, 0.3333, 0.5295)

Results
space group: R-3m
formation energy from the elements: 0.835 eV per formula unit